Computed, not measured: crystalline BaRuWO6 at its relaxed geometry at the PBE+U level of DFT.

POSCAR file:
```
BaRuWO6
1.0
5.359 0.000 0.000
2.680 4.642 0.000
-0.001 0.001 5.757
O Ru W Ba
6 1 1 1
Direct
0.610 0.381 0.690
0.381 0.610 0.310
0.009 0.610 0.690
0.381 0.009 0.690
0.009 0.381 0.310
0.610 0.009 0.310
0.667 0.667 0.500
0.333 0.333 0.500
0.000 0.000 0.000
```

Properties
Space-group type   No. 149
DOS(E_F)   4.46 states/eV/cell
VASP energy   -7.240 eV/atom